No. 1
# Mn2GeN

Crystalline Mn2GeN at its relaxed geometry (GGA-PBE, Alexandria via LeMat-Bulk).

```
Mn2GeN
1.0
3.209 0.000 -0.013
0.000 3.682 0.000
-3.167 0.000 8.757
Mn N Ge
4 2 2
direct
0.926 0.000 0.566
0.167 0.500 0.807
0.167 0.000 0.307
0.926 0.500 0.066
0.135 0.500 0.275
0.135 0.000 0.775
0.371 0.500 0.511
0.371 0.000 0.011
```

Results
- symmetry = No. 44
- E_form (uncorrected) (eV per atom) = 0.110

=====

No. 2
# MgZr3Pb

Crystalline MgZr3Pb at its relaxed geometry (GGA-PBE, Alexandria via LeMat-Bulk).

```
MgZr3Pb
1.0
5.080 0.000 0.000
0.000 5.080 0.000
0.000 0.000 5.080
Mg Zr Pb
1 3 1
direct
0.000 0.000 0.000
0.000 0.000 0.500
0.000 0.500 0.000
0.500 0.000 0.000
0.500 0.500 0.500
```

Results
- formation enthalpy at 0 K (eV per atom) = 0.82
- symmetry = No. 221

=====

No. 3
# CaBr

Crystalline CaBr at its relaxed geometry (GGA-PBE, Alexandria via LeMat-Bulk).

```
CaBr
1.0
3.762 0.000 0.349
0.000 3.778 0.000
-0.865 0.000 9.574
Br Ca
2 2
direct
0.248 0.250 0.815
0.752 0.750 0.185
0.251 0.250 0.338
0.749 0.750 0.662
```

Results
- symmetry = No. 11
- E_form (uncorrected) (eV per atom) = -1.395

=====

No. 4
# MgSb2Rh

Crystalline MgSb2Rh at its relaxed geometry (GGA-PBE, Alexandria via LeMat-Bulk).

```
MgSb2Rh
1.0
7.004 -0.011 0.000
4.992 4.913 0.000
-5.739 -3.085 2.570
Rh Mg Sb
1 1 2
direct
0.225 0.725 0.500
0.440 0.440 0.000
0.057 0.057 0.000
0.779 0.279 0.500
```

Results
- symmetry = No. 44
- E_form (uncorrected) (eV per atom) = -0.235

=====

No. 5
# CaPI3

Crystalline CaPI3 at its relaxed geometry (GGA-PBE, Alexandria via LeMat-Bulk).

```
CaPI3
1.0
5.599 0.000 0.000
0.000 5.599 0.000
0.000 0.000 5.599
I P Ca
3 1 1
direct
0.000 0.500 0.000
0.000 0.000 0.500
0.500 0.000 0.000
0.000 0.000 0.000
0.500 0.500 0.500
```

Results
- symmetry = No. 221
- E_form (uncorrected) (eV per atom) = -0.259

=====

No. 6
# Nd2Co2Os

Crystalline Nd2Co2Os at its relaxed geometry (GGA-PBE, Alexandria via LeMat-Bulk).

```
Nd2Co2Os
1.0
-1.053 4.785 2.216
-4.958 1.983 -0.634
-3.336 -2.254 6.787
Os Nd Co
2 4 4
direct
0.118 0.882 0.250
0.882 0.118 0.750
0.457 0.237 0.154
0.763 0.543 0.346
0.543 0.763 0.846
0.237 0.457 0.654
0.999 0.228 0.999
0.001 0.772 0.001
0.772 0.001 0.501
0.228 0.999 0.499
```

Results
- formation enthalpy at 0 K (eV per atom) = -0.07
- symmetry = No. 15